Entry 1:
Material: Cr2HgAs
Method: DFT, PBE-GGA
State: relaxed

The crystal system is trigonal. The energy comes out at -69.17 eV for the cell shown. For the energy of formation from the pure elements, the calculation gives 286 meV per atom. The value obtained for the volume is 18.21 A^3/atom. The energy above the most stable polymorph in this dataset comes out at 0.36 eV/f.u. Its total magnetization is 6.082 μB per formula unit.

It has space group R-3m (No. 166, hexagonal axes), with a = 3.4249 Å, b = 3.4249 Å, c = 21.5033 Å, α = 90.00°, β = 90.00° and γ = 120.00°. The distinct sites, in fractional coordinates, are Cr at (0.0000, 0.0000, 0.2360), Hg at (0.0000, 0.0000, 0.0000) and As at (0.0000, 0.0000, 0.5000).



Entry 2:
Material: Cr2HgAs
Method: DFT, PBE-GGA
State: relaxed

The crystal system is tetragonal. The energy comes out at -22.90 eV for the cell shown. For the energy of formation from the pure elements, the calculation gives 324 meV per atom. The value obtained for the volume is 17.69 A^3/atom. The energy above the most stable polymorph in this dataset comes out at 0.51 eV/f.u. Its total magnetization is 7.454 μB per formula unit.

It has space group P4/mmm (No. 123), with a = 3.2895 Å, b = 3.2895 Å, c = 6.5385 Å, α = 90.00°, β = 90.00° and γ = 90.00°. The distinct sites, in fractional coordinates, are Cr at (0.0000, 0.0000, 0.2198), Hg at (0.5000, 0.5000, 0.5000) and As at (0.5000, 0.5000, 0.0000).



Entry 3:
Material: CrHg4As
Method: DFT, PBE-GGA
State: relaxed

The crystal system is cubic. The energy comes out at -47.82 eV for the cell shown. For the energy of formation from the pure elements, the calculation gives 587 meV per atom. The value obtained for the volume is 23.51 A^3/atom. Its total magnetization is 3.991 μB per formula unit.

It has space group F-43m (No. 216), with a = 8.2636 Å, b = 8.2636 Å, c = 8.2636 Å, α = 90.00°, β = 90.00° and γ = 90.00°. The distinct sites, in fractional coordinates, are Cr at (0.0000, 0.0000, 0.0000), Hg at (0.1250, 0.1250, 0.3750) and As at (0.2500, 0.2500, 0.7500).



Entry 4:
Material: Cr2HgAs
Method: DFT, PBE-GGA
State: relaxed

The crystal system is tetragonal. The energy comes out at -86.33 eV for the cell shown. For the energy of formation from the pure elements, the calculation gives 654 meV per atom. The value obtained for the volume is 22.55 A^3/atom. The energy above the most stable polymorph in this dataset comes out at 1.83 eV/f.u. Its total magnetization is 8.000 μB per formula unit.

It has space group I-42d (No. 122), with a = 4.7051 Å, b = 4.7051 Å, c = 16.2963 Å, α = 90.00°, β = 90.00° and γ = 90.00°. The distinct sites, in fractional coordinates, are Cr at (0.1973, 0.2500, 0.1250), Hg at (0.0000, 0.0000, 0.5000) and As at (0.0000, 0.0000, 0.0000).



Entry 5:
Material: CrHgAs
Method: DFT, PBE-GGA
State: relaxed

The crystal system is tetragonal. The energy comes out at -27.76 eV for the cell shown. For the energy of formation from the pure elements, the calculation gives 231 meV per atom. The value obtained for the volume is 19.43 A^3/atom. The energy above the most stable polymorph in this dataset comes out at 0.06 eV/f.u. Its total magnetization is 2.896 μB per formula unit.

It has space group I4mm (No. 107), with a = 3.1845 Å, b = 3.1845 Å, c = 11.4989 Å, α = 90.00°, β = 90.00° and γ = 90.00°. The distinct sites, in fractional coordinates, are Cr at (0.0000, 0.0000, 0.0000), Hg at (0.0000, 0.0000, 0.3160) and As at (0.0000, 0.0000, 0.6020).



Entry 6:
Material: Cr2HgAs
Method: DFT, PBE-GGA
State: relaxed

The crystal system is orthorhombic. The energy comes out at -45.59 eV for the cell shown. For the energy of formation from the pure elements, the calculation gives 351 meV per atom. The value obtained for the volume is 19.14 A^3/atom. The energy above the most stable polymorph in this dataset comes out at 0.62 eV/f.u. Its total magnetization is 7.018 μB per formula unit.

It has space group Imm2 (No. 44), with a = 3.4056 Å, b = 3.5342 Å, c = 12.7191 Å, α = 90.00°, β = 90.00° and γ = 90.00°. The distinct sites, in fractional coordinates, are Cr at (0.0000, 0.0000, 0.0000), Cr at (0.0000, 0.5000, 0.1998), Hg at (0.0000, 0.5000, 0.8163) and As at (0.0000, 0.0000, 0.5511).



Entry 7:
Material: CrHgMoAs2
Method: DFT, PBE-GGA
State: relaxed

The crystal system is tetragonal. The energy comes out at -25.64 eV for the cell shown. For the energy of formation from the pure elements, the calculation gives 883 meV per atom. The value obtained for the volume is 22.50 A^3/atom. The energy above the most stable polymorph in this dataset comes out at 0.00 eV/f.u. Its total magnetization is 0.053 μB per formula unit.

It has space group P4/mmm (No. 123), with a = 4.8683 Å, b = 4.8683 Å, c = 4.7457 Å, α = 90.00°, β = 90.00° and γ = 90.00°. The distinct sites, in fractional coordinates, are Cr at (0.0000, 0.0000, 0.0000), Hg at (0.5000, 0.5000, 0.0000), Mo at (0.0000, 0.0000, 0.5000) and As at (0.0000, 0.5000, 0.5000).



Entry 8:
Material: CrHgMoAs2
Method: DFT, PBE-GGA
State: relaxed

The crystal system is tetragonal. The energy comes out at -25.47 eV for the cell shown. For the energy of formation from the pure elements, the calculation gives 918 meV per atom. The value obtained for the volume is 21.77 A^3/atom. The energy above the most stable polymorph in this dataset comes out at 0.18 eV/f.u. Its total magnetization is 5.463 μB per formula unit.

It has space group P4/mmm (No. 123), with a = 4.5985 Å, b = 4.5985 Å, c = 5.1470 Å, α = 90.00°, β = 90.00° and γ = 90.00°. The distinct sites, in fractional coordinates, are Cr at (0.0000, 0.0000, 0.0000), Hg at (0.0000, 0.0000, 0.5000), Mo at (0.5000, 0.5000, 0.5000) and As at (0.0000, 0.5000, 0.0000).



Entry 9:
Material: NaCr2HgAs
Method: DFT, PBE-GGA
State: relaxed

The crystal system is tetragonal. The energy comes out at -18.87 eV for the cell shown. For the energy of formation from the pure elements, the calculation gives 1330 meV per atom. The value obtained for the volume is 25.06 A^3/atom. Its total magnetization is 9.177 μB per formula unit.

It has space group P4/mmm (No. 123), with a = 5.1044 Å, b = 5.1044 Å, c = 4.8083 Å, α = 90.00°, β = 90.00° and γ = 90.00°. The distinct sites, in fractional coordinates, are Na at (0.0000, 0.0000, 0.0000), Cr at (0.0000, 0.5000, 0.0000), Hg at (0.5000, 0.5000, 0.5000) and As at (0.0000, 0.0000, 0.5000).



Entry 10:
Material: NbCrHg2As
Method: DFT, PBE-GGA
State: relaxed

The crystal system is tetragonal. The energy comes out at -20.24 eV for the cell shown. For the energy of formation from the pure elements, the calculation gives 942 meV per atom. The value obtained for the volume is 23.56 A^3/atom. Its total magnetization is 5.309 μB per formula unit.

It has space group P4/mmm (No. 123), with a = 5.1048 Å, b = 5.1048 Å, c = 4.5211 Å, α = 90.00°, β = 90.00° and γ = 90.00°. The distinct sites, in fractional coordinates, are Nb at (0.0000, 0.0000, 0.0000), Cr at (0.5000, 0.5000, 0.5000), Hg at (0.0000, 0.5000, 0.5000) and As at (0.5000, 0.5000, 0.0000).



Number 9 is which compound? NaCr2HgAs



Copy entry 5 word for word.
Material: CrHgAs
Method: DFT, PBE-GGA
State: relaxed

The crystal system is tetragonal. The energy comes out at -27.76 eV for the cell shown. For the energy of formation from the pure elements, the calculation gives 231 meV per atom. The value obtained for the volume is 19.43 A^3/atom. The energy above the most stable polymorph in this dataset comes out at 0.06 eV/f.u. Its total magnetization is 2.896 μB per formula unit.

It has space group I4mm (No. 107), with a = 3.1845 Å, b = 3.1845 Å, c = 11.4989 Å, α = 90.00°, β = 90.00° and γ = 90.00°. The distinct sites, in fractional coordinates, are Cr at (0.0000, 0.0000, 0.0000), Hg at (0.0000, 0.0000, 0.3160) and As at (0.0000, 0.0000, 0.6020).



Among the records above, which one has the highest total magnetization? NaCr2HgAs



The highest energy belongs to which entry? NaCr2HgAs